Mn2BeW after structural relaxation. Source: the Alexandria database, functional GGA-PBE.

Output
The calculated formation energy is 0.46 eV per formula unit. As for the total energy: -34.56 eV per formula unit. As for the symmetry: No. 65. The calculated volume is 48 Å³ per cell. As for the density of states at the Fermi level: 3.0 states/eV/cell.

Lattice parameters (Å, degrees): 2.677 2.677 6.754 90.00 90.00 96.10
Site moments in Bohr magnetons follow the coordinates.
Element x y z (fractional)
Mn 0.000 0.000 0.539  2.08
Be 0.500 0.500 0.750  -0.07
W 0.500 0.500 0.250  -0.23
Mn 0.000 0.000 0.961  2.08